(1)
First-principles (GGA-PBE) data for a geometry-optimized Th2SCl2 structure, as listed in Alexandria via LeMat-Bulk.

a b c (Å): 7.0308 4.0460 10.9546
angles (deg): 90.00 103.57 90.00
Fractional coordinates of all 10 atoms:
Th: 0.2180 0.0000 0.1396
Th: 0.2820 0.5000 0.8604
Th: 0.7180 0.5000 0.1396
Th: 0.7820 0.0000 0.8604
S: 0.0000 0.5000 0.0000
S: 0.5000 0.0000 0.0000
Cl: 0.0541 0.0000 0.6943
Cl: 0.4459 0.5000 0.3057
Cl: 0.5541 0.5000 0.6943
Cl: 0.9459 0.0000 0.3057

* total energy: -6.35 eV/atom

(2)
First-principles (GGA-PBE) data for a geometry-optimized SrMg3Pt2 structure, as listed in Alexandria via LeMat-Bulk.

a b c (Å): 8.4644 8.4644 8.5963
angles (deg): 116.25 116.25 29.75
Fractional coordinates of all 12 atoms:
Sr: 0.1474 0.1474 0.0762
Sr: 0.8526 0.8526 0.9238
Mg: 0.0351 0.0351 0.3592
Mg: 0.3198 0.3198 0.5529
Mg: 0.3949 0.3949 0.2951
Mg: 0.6051 0.6051 0.7049
Mg: 0.6802 0.6802 0.4471
Mg: 0.9649 0.9649 0.6408
Pt: 0.1873 0.1873 0.6616
Pt: 0.4864 0.4864 0.8353
Pt: 0.5136 0.5136 0.1647
Pt: 0.8127 0.8127 0.3384

* total energy: -3.79 eV/atom